#i
Compound: ZrBiNO
Source: OQMD via LeMat-Bulk
Functional: GGA-PBE
Structure: optimized geometry

Lattice parameters (Å, degrees): 5.8245 7.7078 5.6243 90.00 90.00 90.00
Positions (direct):
Bi1 0.0395 0.3462 0.4883
Bi2 0.4605 0.3462 0.9883
Bi3 0.9605 0.6538 0.9883
Bi4 0.5395 0.6538 0.4883
O1 0.2501 0.9797 0.7384
O2 0.2499 0.9797 0.2384
O3 0.7500 0.0203 0.2384
O4 0.7501 0.0203 0.7384
Zr1 0.5073 0.8671 0.9888
Zr2 0.4927 0.1329 0.4888
Zr3 0.0073 0.1329 0.9888
Zr4 0.9927 0.8671 0.4888
N1 0.8994 0.3814 0.9869
N2 0.6006 0.3814 0.4869
N3 0.1006 0.6186 0.4869
N4 0.3994 0.6186 0.9869

Results
As for the magnetic moment: 0.00 μB/f.u.



#ii
Compound: ZrBiNO
Source: OQMD via LeMat-Bulk
Functional: GGA-PBE
Structure: optimized geometry

Lattice parameters (Å, degrees): 3.4689 7.9364 6.1344 90.00 90.00 90.00
Positions (direct):
O1 0.5000 0.9254 0.3160
O2 0.5000 0.0746 0.8160
N1 0.0000 0.7398 0.9216
N2 0.0000 0.2602 0.4216
Zr1 0.5000 0.8677 0.9971
Zr2 0.5000 0.1323 0.4971
Bi1 0.0000 0.5370 0.5193
Bi2 0.0000 0.4630 0.0193

Results
As for the magnetic moment: 0.00 μB/f.u.



Relative energies in kJ/mol of atoms: #i 33.4; #ii 0.0



#i
Compound: NaNbReBi
Source: OQMD via LeMat-Bulk
Functional: GGA-PBE
Structure: optimized geometry

Lattice parameters (Å, degrees): 4.7110 4.7110 4.7110 60.00 60.00 60.00
Positions (direct):
Nb1 0.5000 0.5000 0.5000
Re1 0.2500 0.2500 0.2500
Bi1 0.0000 0.0000 0.0000
Na1 0.7500 0.7500 0.7500

Results
As for the magnetic moment: 0.00 μB/f.u.



#ii
Compound: NaNbReBi
Source: OQMD via LeMat-Bulk
Functional: GGA-PBE
Structure: optimized geometry

Lattice parameters (Å, degrees): 4.7575 4.7575 4.7575 60.00 60.00 60.00
Positions (direct):
Bi1 0.5000 0.5000 0.5000
Nb1 0.2500 0.2500 0.2500
Re1 0.0000 0.0000 0.0000
Na1 0.7500 0.7500 0.7500

Results
As for the magnetic moment: 0.00 μB/f.u.



Relative energies in kJ/mol of atoms: #i 0.0; #ii 18.5



#i
Compound: NaNbTcBi
Source: OQMD via LeMat-Bulk
Functional: GGA-PBE
Structure: optimized geometry

Lattice parameters (Å, degrees): 4.7639 4.7639 4.7639 60.00 60.00 60.00
Positions (direct):
Bi1 0.5000 0.5000 0.5000
Nb1 0.2500 0.2500 0.2500
Na1 0.7500 0.7500 0.7500
Tc1 0.0000 0.0000 0.0000

Results
As for the magnetic moment: 0.08 μB/f.u.



#ii
Compound: NaNbTcBi
Source: OQMD via LeMat-Bulk
Functional: GGA-PBE
Structure: optimized geometry

Lattice parameters (Å, degrees): 4.7061 4.7061 4.7061 60.00 60.00 60.00
Positions (direct):
Tc1 0.2500 0.2500 0.2500
Na1 0.7500 0.7500 0.7500
Nb1 0.5000 0.5000 0.5000
Bi1 0.0000 0.0000 0.0000

Results
As for the magnetic moment: 0.00 μB/f.u.



Relative energies in kJ/mol of atoms: #i 18.2; #ii 0.0



#i
Compound: NaSrNiBi
Source: OQMD via LeMat-Bulk
Functional: GGA-PBE
Structure: optimized geometry

Lattice parameters (Å, degrees): 5.1609 5.1609 5.1609 60.00 60.00 60.00
Positions (direct):
Sr1 0.0000 0.0000 0.0000
Ni1 0.5000 0.5000 0.5000
Bi1 0.2500 0.2500 0.2500
Na1 0.7500 0.7500 0.7500

Results
As for the magnetic moment: 0.00 μB/f.u.



#ii
Compound: NaSrNiBi
Source: OQMD via LeMat-Bulk
Functional: GGA-PBE
Structure: optimized geometry

Lattice parameters (Å, degrees): 5.0889 5.0889 5.0889 60.00 60.00 60.00
Positions (direct):
Na1 0.7500 0.7500 0.7500
Ni1 0.2500 0.2500 0.2500
Sr1 0.0000 0.0000 0.0000
Bi1 0.5000 0.5000 0.5000

Results
As for the magnetic moment: 0.00 μB/f.u.



Relative energies in kJ/mol of atoms: #i 11.8; #ii 0.0



#i
Compound: NaBiOsPb
Source: OQMD via LeMat-Bulk
Functional: GGA-PBE
Structure: optimized geometry

Lattice parameters (Å, degrees): 5.0763 5.0763 5.0763 60.00 60.00 60.00
Positions (direct):
Os1 0.0000 0.0000 0.0000
Bi1 0.2500 0.2500 0.2500
Pb1 0.5000 0.5000 0.5000
Na1 0.7500 0.7500 0.7500

Results
As for the magnetic moment: 0.01 μB/f.u.



#ii
Compound: NaBiOsPb
Source: OQMD via LeMat-Bulk
Functional: GGA-PBE
Structure: optimized geometry

Lattice parameters (Å, degrees): 4.9415 4.9415 4.9415 60.00 60.00 60.00
Positions (direct):
Bi1 0.0000 0.0000 0.0000
Os1 0.2500 0.2500 0.2500
Pb1 0.5000 0.5000 0.5000
Na1 0.7500 0.7500 0.7500

Results
As for the magnetic moment: 0.00 μB/f.u.



Relative energies in kJ/mol of atoms: #i 35.1; #ii 0.0



#i
Compound: NaSnBiOs
Source: OQMD via LeMat-Bulk
Functional: GGA-PBE
Structure: optimized geometry

Lattice parameters (Å, degrees): 4.8584 4.8584 4.8584 60.00 60.00 60.00
Positions (direct):
Na1 0.7500 0.7500 0.7500
Os1 0.2500 0.2500 0.2500
Bi1 0.0000 0.0000 0.0000
Sn1 0.5000 0.5000 0.5000

Results
As for the magnetic moment: 0.00 μB/f.u.



#ii
Compound: NaSnBiOs
Source: OQMD via LeMat-Bulk
Functional: GGA-PBE
Structure: optimized geometry

Lattice parameters (Å, degrees): 5.0124 5.0124 5.0124 60.00 60.00 60.00
Positions (direct):
Os1 0.0000 0.0000 0.0000
Na1 0.7500 0.7500 0.7500
Sn1 0.5000 0.5000 0.5000
Bi1 0.2500 0.2500 0.2500

Results
As for the magnetic moment: 0.03 μB/f.u.



Relative energies in kJ/mol of atoms: #i 0.0; #ii 45.4



#i
Compound: NaSrBiPd
Source: OQMD via LeMat-Bulk
Functional: GGA-PBE
Structure: optimized geometry

Lattice parameters (Å, degrees): 5.3557 5.3557 5.3557 60.00 60.00 60.00
Positions (direct):
Bi1 0.0000 0.0000 0.0000
Sr1 0.2500 0.2500 0.2500
Na1 0.7500 0.7500 0.7500
Pd1 0.5000 0.5000 0.5000



#ii
Compound: NaSrBiPd
Source: OQMD via LeMat-Bulk
Functional: GGA-PBE
Structure: optimized geometry

Lattice parameters (Å, degrees): 5.2195 5.2195 5.2195 60.00 60.00 60.00
Positions (direct):
Sr1 0.0000 0.0000 0.0000
Na1 0.7500 0.7500 0.7500
Pd1 0.5000 0.5000 0.5000
Bi1 0.2500 0.2500 0.2500



#iii
Compound: NaSrBiPd
Source: OQMD via LeMat-Bulk
Functional: GGA-PBE
Structure: optimized geometry

Lattice parameters (Å, degrees): 5.1774 5.1774 5.1774 60.00 60.00 60.00
Positions (direct):
Sr1 0.0000 0.0000 0.0000
Bi1 0.5000 0.5000 0.5000
Pd1 0.2500 0.2500 0.2500
Na1 0.7500 0.7500 0.7500



Relative energies in kJ/mol of atoms: #i 14.2; #ii 8.8; #iii 0.0



#i
Compound: NaBiPt
Source: OQMD via LeMat-Bulk
Functional: GGA-PBE
Structure: optimized geometry

Lattice parameters (Å, degrees): 7.6025 4.7013 8.0963 90.00 90.00 90.00
Positions (direct):
Na1 0.0138 0.7500 0.8203
Na2 0.4862 0.2500 0.3203
Na3 0.5138 0.7500 0.6797
Na4 0.9862 0.2500 0.1797
Bi1 0.6741 0.7500 0.0817
Bi2 0.3259 0.2500 0.9183
Bi3 0.1741 0.7500 0.4183
Bi4 0.8259 0.2500 0.5817
Pt1 0.8036 0.7500 0.4002
Pt2 0.1964 0.2500 0.5998
Pt3 0.6964 0.2500 0.9002
Pt4 0.3036 0.7500 0.0998

Results
As for the magnetic moment: 0.00 μB/f.u.



#ii
Compound: NaBiPt
Source: OQMD via LeMat-Bulk
Functional: GGA-PBE
Structure: optimized geometry

Lattice parameters (Å, degrees): 4.6348 4.6348 4.6348 60.00 60.00 60.00
Positions (direct):
Pt1 0.7500 0.7500 0.7500
Na1 0.0000 0.0000 0.0000
Bi1 0.2500 0.2500 0.2500

Results
As for the magnetic moment: 0.00 μB/f.u.



Relative energies in kJ/mol of atoms: #i 0.0; #ii 62.8



#i
Compound: NaTaReBi
Source: OQMD via LeMat-Bulk
Functional: GGA-PBE
Structure: optimized geometry

Lattice parameters (Å, degrees): 4.7572 4.7572 4.7572 60.00 60.00 60.00
Positions (direct):
Re1 0.5000 0.5000 0.5000
Ta1 0.2500 0.2500 0.2500
Bi1 0.0000 0.0000 0.0000
Na1 0.7500 0.7500 0.7500

Results
As for the magnetic moment: 0.00 μB/f.u.



#ii
Compound: NaTaReBi
Source: OQMD via LeMat-Bulk
Functional: GGA-PBE
Structure: optimized geometry

Lattice parameters (Å, degrees): 4.7094 4.7094 4.7094 60.00 60.00 60.00
Positions (direct):
Re1 0.2500 0.2500 0.2500
Na1 0.7500 0.7500 0.7500
Ta1 0.0000 0.0000 0.0000
Bi1 0.5000 0.5000 0.5000

Results
As for the magnetic moment: 0.00 μB/f.u.



Relative energies in kJ/mol of atoms: #i 18.9; #ii 0.0



#i
Compound: NaTaTcBi
Source: OQMD via LeMat-Bulk
Functional: GGA-PBE
Structure: optimized geometry

Lattice parameters (Å, degrees): 4.7653 4.7653 4.7653 60.00 60.00 60.00
Positions (direct):
Tc1 0.5000 0.5000 0.5000
Na1 0.7500 0.7500 0.7500
Ta1 0.2500 0.2500 0.2500
Bi1 0.0000 0.0000 0.0000

Results
As for the magnetic moment: 0.07 μB/f.u.



#ii
Compound: NaTaTcBi
Source: OQMD via LeMat-Bulk
Functional: GGA-PBE
Structure: optimized geometry

Lattice parameters (Å, degrees): 4.7024 4.7024 4.7024 60.00 60.00 60.00
Positions (direct):
Na1 0.7500 0.7500 0.7500
Bi1 0.5000 0.5000 0.5000
Tc1 0.2500 0.2500 0.2500
Ta1 0.0000 0.0000 0.0000

Results
As for the magnetic moment: 0.00 μB/f.u.



Relative energies in kJ/mol of atoms: #i 18.3; #ii 0.0



#i
Compound: NbNiBiPt
Source: OQMD via LeMat-Bulk
Functional: GGA-PBE
Structure: optimized geometry

Lattice parameters (Å, degrees): 4.6418 4.6418 4.6418 60.00 60.00 60.00
Positions (direct):
Pt1 0.2500 0.2500 0.2500
Bi1 0.0000 0.0000 0.0000
Ni1 0.7500 0.7500 0.7500
Nb1 0.5000 0.5000 0.5000

Results
As for the magnetic moment: 0.05 μB/f.u.



#ii
Compound: NbNiBiPt
Source: OQMD via LeMat-Bulk
Functional: GGA-PBE
Structure: optimized geometry

Lattice parameters (Å, degrees): 4.6342 4.6342 4.6342 60.00 60.00 60.00
Positions (direct):
Ni1 0.7500 0.7500 0.7500
Pt1 0.5000 0.5000 0.5000
Bi1 0.0000 0.0000 0.0000
Nb1 0.2500 0.2500 0.2500

Results
As for the magnetic moment: 0.00 μB/f.u.



Relative energies in kJ/mol of atoms: #i 5.8; #ii 0.0



#i
Compound: PaNbBi
Source: OQMD via LeMat-Bulk
Functional: GGA-PBE
Structure: optimized geometry

Lattice parameters (Å, degrees): 4.8387 4.8387 4.8387 60.00 60.00 60.00
Positions (direct):
Nb1 0.0000 0.0000 0.0000
Pa1 0.7500 0.7500 0.7500
Bi1 0.2500 0.2500 0.2500

Results
As for the magnetic moment: 0.16 μB/f.u.



#ii
Compound: PaNbBi
Source: OQMD via LeMat-Bulk
Functional: GGA-PBE
Structure: optimized geometry

Lattice parameters (Å, degrees): 5.0035 5.0035 5.0035 60.00 60.00 60.00
Positions (direct):
Pa1 0.0000 0.0000 0.0000
Nb1 0.7500 0.7500 0.7500
Bi1 0.2500 0.2500 0.2500

Results
As for the magnetic moment: 0.71 μB/f.u.



Relative energies in kJ/mol of atoms: #i 0.0; #ii 61.6



#i
Compound: RbNbBi
Source: OQMD via LeMat-Bulk
Functional: GGA-PBE
Structure: optimized geometry

Lattice parameters (Å, degrees): 5.4177 5.4177 5.4177 60.00 60.00 60.00
Positions (direct):
Rb1 0.0000 0.0000 0.0000
Bi1 0.2500 0.2500 0.2500
Nb1 0.7500 0.7500 0.7500

Results
As for the magnetic moment: 3.00 μB/f.u.



#ii
Compound: RbNbBi
Source: OQMD via LeMat-Bulk
Functional: GGA-PBE
Structure: optimized geometry

Lattice parameters (Å, degrees): 5.2357 5.2357 5.2357 60.00 60.00 60.00
Positions (direct):
Nb1 0.0000 0.0000 0.0000
Bi1 0.2500 0.2500 0.2500
Rb1 0.7500 0.7500 0.7500

Results
As for the magnetic moment: 3.00 μB/f.u.



Relative energies in kJ/mol of atoms: #i 68.2; #ii 0.0



#i
Compound: UNbBi
Source: OQMD via LeMat-Bulk
Functional: GGA-PBE
Structure: optimized geometry

Lattice parameters (Å, degrees): 4.8160 4.8160 4.8160 60.00 60.00 60.00
Positions (direct):
Nb1 0.2500 0.2500 0.2500
U1 0.0000 0.0000 0.0000
Bi1 0.5000 0.5000 0.5000

Results
As for the magnetic moment: 2.15 μB/f.u.



#ii
Compound: UNbBi
Source: OQMD via LeMat-Bulk
Functional: GGA-PBE
Structure: optimized geometry

Lattice parameters (Å, degrees): 4.9252 4.9252 4.9252 60.00 60.00 60.00
Positions (direct):
Nb1 0.7500 0.7500 0.7500
Bi1 0.2500 0.2500 0.2500
U1 0.0000 0.0000 0.0000

Results
As for the magnetic moment: 0.53 μB/f.u.



Relative energies in kJ/mol of atoms: #i 0.0; #ii 55.2